[1]
The following is a DFT calculation (PBE-GGA) of a relaxed Dy7Ga2Pb2 crystal.

Its total energy is -95.57 eV/cell. For the density of states at the Fermi level, the calculation gives 0.85 states/eV/atom. As for the formation energy: -191 meV per atom.

The space group is Cmmm (No. 65) and the conventional cell measures 8.166, 11.128 and 7.288 Å, with angles of 90.00, 90.00 and 90.00 degrees. The distinct sites, in fractional coordinates, are Dy at (0.000, 0.000, 0.000), Dy at (0.000, 0.500, 0.239), Dy at (0.250, 0.250, 0.272), Ga at (0.000, 0.284, 0.000) and Pb at (0.186, 0.000, 0.500).

=====

[2]
The following is a DFT calculation (PBE-GGA) of a relaxed IrBr crystal.

For the energy above the most stable polymorph in this dataset, the calculation gives 410 meV/atom. Its total energy is -73.45 eV/cell. For the density of states at the Fermi level, the calculation gives 0.92 states/eV/atom.

The space group is P2_12_12_1 (No. 19) and the conventional cell measures 6.756, 6.936 and 8.868 Å, with angles of 90.00, 90.00 and 90.00 degrees. The distinct sites, in fractional coordinates, are Ir at (0.066, 0.010, 0.423), Ir at (0.078, 0.290, 0.254), Br at (0.089, 0.578, 0.833) and Br at (0.099, 0.042, 0.053).

=====

Question: Which value of total energy does entry 2 give?
Answer: -73.45 eV/cell

=====

Question: Which of these has the lowest total energy?
Answer: Dy7Ga2Pb2